DFT (PBE-GGA) results for a relaxed Th4CuSn crystal.

Lattice parameters (Å, degrees): 8.1676 8.1676 8.1676 125.61 125.61 80.52
Closest atoms and distances in Å follow each position.
Fractional coordinates of all 12 atoms:
Th: 0.0182 0.5182 0.8128  2 Cu 3.14, 3 Th 3.30-3.45, 2 Sn 3.30
Th: 0.2054 0.0182 0.5000  2 Cu 3.14, 3 Th 3.30-3.45, 2 Sn 3.30
Th: 0.2946 0.7946 0.8128  2 Cu 3.14, 3 Th 3.30-3.45, 2 Sn 3.30
Th: 0.4818 0.2946 0.5000  2 Cu 3.14, 3 Th 3.30-3.45, 2 Sn 3.30
Th: 0.5182 0.7054 0.5000  2 Cu 3.14, 3 Th 3.30-3.45, 2 Sn 3.30
Th: 0.7054 0.2054 0.1872  2 Cu 3.14, 3 Th 3.30-3.45, 2 Sn 3.30
Th: 0.7946 0.9818 0.5000  2 Cu 3.14, 3 Th 3.30-3.45, 2 Sn 3.30
Th: 0.9818 0.4818 0.1872  2 Cu 3.14, 3 Th 3.30-3.45, 2 Sn 3.30
Cu: 0.2500 0.2500 0.0000  2 Sn 3.12, 8 Th 3.14
Cu: 0.7500 0.7500 0.0000  2 Sn 3.12, 8 Th 3.14
Sn: 0.0000 0.0000 0.0000  2 Cu 3.12, 8 Th 3.30
Sn: 0.5000 0.5000 0.0000  2 Cu 3.12, 8 Th 3.30

- Space-group type: I4/mcm (140)
- Formation enthalpy at 0 K: -115.0 meV per atom
- ρ: 10.6 g cm⁻³
- Crystal system: tetragonal

DFT (PBE-GGA) results for a relaxed Ga3SiW crystal.

Lattice parameters (Å, degrees): 4.7054 4.7054 4.7054 90.00 90.00 90.00
Closest atoms and distances in Å follow each position.
Fractional coordinates of all 5 atoms:
Ga: 0.0000 0.0000 0.5000  2 Si 2.35
Ga: 0.0000 0.5000 0.0000  2 Si 2.35
Ga: 0.5000 0.0000 0.0000  2 Si 2.35
Si: 0.0000 0.0000 0.0000  6 Ga 2.35
W: 0.5000 0.5000 0.5000  12 Ga 3.33

- Offset from the most stable computed form: 0.375 eV per atom
- E_form (uncorrected): 616 kJ/mol of formula units
- Space-group type: Pm-3m (221)
- ρ: 6.7 g cm⁻³
- Crystal system: cubic

DFT (PBE-GGA) results for a relaxed DyHoTe2 crystal.

Lattice parameters (Å, degrees): 7.5498 7.5498 7.5498 90.00 90.00 90.00
Closest atoms and distances in Å follow each position.
Fractional coordinates of all 16 atoms:
Dy: 0.0000 0.0000 0.0000  8 Te 3.27
Dy: 0.0000 0.5000 0.5000  8 Te 3.27
Dy: 0.5000 0.0000 0.5000  8 Te 3.27
Dy: 0.5000 0.5000 0.0000  8 Te 3.27
Ho: 0.0000 0.0000 0.5000  8 Te 3.27
Ho: 0.0000 0.5000 0.0000  8 Te 3.27
Ho: 0.5000 0.0000 0.0000  8 Te 3.27
Ho: 0.5000 0.5000 0.5000  8 Te 3.27
Te: 0.2500 0.2500 0.2500  4 Dy 3.27, 4 Ho 3.27
Te: 0.2500 0.2500 0.7500  4 Dy 3.27, 4 Ho 3.27
Te: 0.2500 0.7500 0.2500  4 Dy 3.27, 4 Ho 3.27
Te: 0.2500 0.7500 0.7500  4 Dy 3.27, 4 Ho 3.27
Te: 0.7500 0.2500 0.2500  4 Dy 3.27, 4 Ho 3.27
Te: 0.7500 0.2500 0.7500  4 Dy 3.27, 4 Ho 3.27
Te: 0.7500 0.7500 0.2500  4 Dy 3.27, 4 Ho 3.27
Te: 0.7500 0.7500 0.7500  4 Dy 3.27, 4 Ho 3.27

- Offset from the most stable computed form: 0.146 eV per atom
- E_form (uncorrected): -442 kJ/mol of formula units
- Space-group type: Fm-3m (225)
- ρ: 9.0 g cm⁻³
- Crystal system: cubic

DFT (PBE-GGA) results for a relaxed Cd2Re2Sn crystal.

Lattice parameters (Å, degrees): 3.7832 3.7832 14.1366 90.00 90.00 90.00
Closest atoms and distances in Å follow each position.
Fractional coordinates of all 10 atoms:
Cd: 0.0000 0.5000 0.2500  4 Cd 2.68
Cd: 0.0000 0.5000 0.7500  4 Cd 2.68
Cd: 0.5000 0.0000 0.2500  4 Cd 2.68
Cd: 0.5000 0.0000 0.7500  4 Cd 2.68
Re: 0.0000 0.0000 0.0841  1 Re 2.38
Re: 0.0000 0.0000 0.9159  1 Re 2.38
Re: 0.5000 0.5000 0.4159  1 Re 2.38
Re: 0.5000 0.5000 0.5841  1 Re 2.38
Sn: 0.0000 0.0000 0.5000  8 Re 2.93
Sn: 0.5000 0.5000 0.0000  8 Re 2.93

- Offset from the most stable computed form: 0.408 eV per atom
- Space-group type: I4/mmm (139)
- Formation enthalpy at 0 K: 960.7 meV per atom
- ρ: 11.8 g cm⁻³
- Crystal system: tetragonal

DFT (PBE-GGA) results for a relaxed SbNOF2 crystal.

Lattice parameters (Å, degrees): 3.9512 3.9512 3.7636 90.00 90.00 90.00
Closest atoms and distances in Å follow each position.
Fractional coordinates of all 5 atoms:
Sb: 0.0000 0.0000 0.0000  8 F 2.73, 4 O 2.79
N: 0.5000 0.5000 0.5000  2 O 1.88, 4 F 1.98
O: 0.5000 0.5000 0.0000  2 N 1.88
F: 0.0000 0.5000 0.5000  2 N 1.98
F: 0.5000 0.0000 0.5000  2 N 1.98

- Offset from the most stable computed form: 0.774 eV per atom
- E_form (uncorrected): 189 kJ/mol of formula units
- Space-group type: P4/mmm (123)
- ρ: 5.4 g cm⁻³
- Crystal system: tetragonal

DFT (PBE-GGA) results for a relaxed RbCd crystal.

Lattice parameters (Å, degrees): 4.5201 4.5201 4.5201 90.00 90.00 90.00
Closest atoms and distances in Å follow each position.
Fractional coordinates of all 2 atoms:
Rb: 0.0000 0.0000 0.0000  8 Cd 3.91
Cd: 0.5000 0.5000 0.5000  8 Rb 3.91

- Space-group type: Pm-3m (221)
- Formation enthalpy at 0 K: 35.4 meV per atom
- ρ: 3.6 g cm⁻³
- Crystal system: cubic

DFT (PBE-GGA) results for a relaxed SmDySe2O crystal.

Lattice parameters (Å, degrees): 4.0197 4.0197 14.5964 90.00 90.00 90.00
Closest atoms and distances in Å follow each position.
Fractional coordinates of all 10 atoms:
Sm: 0.2500 0.2500 0.0792  4 O 2.32
Sm: 0.7500 0.7500 0.9208  4 O 2.32
Dy: 0.2500 0.2500 0.6260  5 Se 2.63-2.89
Dy: 0.7500 0.7500 0.3740  5 Se 2.63-2.89
Se: 0.2500 0.2500 0.4113  5 Dy 2.89-3.13
Se: 0.2500 0.2500 0.8061  1 Dy 2.63
Se: 0.7500 0.7500 0.1939  1 Dy 2.63
Se: 0.7500 0.7500 0.5887  5 Dy 2.89-3.13
O: 0.2500 0.7500 0.0000  4 Sm 2.32
O: 0.7500 0.2500 0.0000  4 Sm 2.32

- E_form (uncorrected): -1156 kJ/mol of formula units
- Space-group type: P4/nmm (129)
- ρ: 6.9 g cm⁻³
- Crystal system: tetragonal

DFT (PBE-GGA) results for a relaxed VReMo2As crystal.

Lattice parameters (Å, degrees): 4.7953 4.7953 4.5818 90.00 90.00 90.00
Closest atoms and distances in Å follow each position.
Fractional coordinates of all 5 atoms:
V: 0.0000 0.0000 0.0000  8 Mo 3.32, 4 As 3.39
Re: 0.5000 0.5000 0.5000  2 As 2.29, 4 Mo 2.40
Mo: 0.0000 0.5000 0.5000  2 Re 2.40
Mo: 0.5000 0.0000 0.5000  2 Re 2.40
As: 0.5000 0.5000 0.0000  2 Re 2.29

- Space-group type: P4/mmm (123)
- Formation enthalpy at 0 K: 1705.3 meV per atom
- ρ: 7.9 g cm⁻³
- Crystal system: tetragonal

Number 1: D(E_F) 7.84 states/eV/f.u., raw total energy -6.411 eV per atom. Number 2: D(E_F) 3.12 states/eV/f.u., raw total energy -4.215 eV per atom. Number 3: D(E_F) 2.56 states/eV/f.u., raw total energy -5.010 eV per atom. Number 4: D(E_F) 5.82 states/eV/f.u., raw total energy -5.185 eV per atom. Number 5: D(E_F) 2.20 states/eV/f.u., raw total energy -3.839 eV per atom. Number 6: D(E_F) 1.67 states/eV/f.u., raw total energy -0.906 eV per atom. Number 7: D(E_F) 1.04 states/eV/f.u., raw total energy -6.647 eV per atom. Number 8: D(E_F) 7.29 states/eV/f.u., raw total energy -7.870 eV per atom.